# NiPdIO6 PBE with a Hubbard U optimized geometry
data_NiPdIO6
_chemical_formula_sum 'Ni2 Pd2 I2 O12'
_space_group_name_H-M_alt 'P 1'
_space_group_IT_number 1
_cell_length_a 4.716
_cell_length_b 4.716
_cell_length_c 9.336
_cell_angle_alpha 90.00
_cell_angle_beta 90.00
_cell_angle_gamma 90.00
loop_
_space_group_symop_operation_xyz
'x,y,z'
loop_
_atom_site_label
_atom_site_type_symbol
_atom_site_fract_x
_atom_site_fract_y
_atom_site_fract_z
_atom_site_occupancy
Ni1 Ni 0.000 0.000 0.000 1
Ni2 Ni 0.500 0.500 0.500 1
Pd1 Pd 0.000 0.000 0.667 1
Pd2 Pd 0.500 0.500 0.167 1
I1 I 0.000 0.000 0.331 1
I2 I 0.500 0.500 0.831 1
O1 O 0.190 0.190 0.495 1
O2 O 0.191 0.191 0.173 1
O3 O 0.200 0.200 0.835 1
O4 O 0.300 0.700 0.335 1
O5 O 0.309 0.691 0.673 1
O6 O 0.310 0.690 0.995 1
O7 O 0.690 0.310 0.995 1
O8 O 0.691 0.309 0.673 1
O9 O 0.700 0.300 0.335 1
O10 O 0.800 0.800 0.835 1
O11 O 0.809 0.809 0.173 1
O12 O 0.810 0.810 0.495 1
# - space group = P4_2nm
# - total magnetic moment (μB/cell) = 3.5
# - E_tot (eV/atom) = -4.77